Record 1
Computed, not measured: a geometry-optimized Pa2GaSi4Rh3 structure at the PBE-GGA level of DFT.

- space-group type = No. 115
- formation energy without anion corrections (meV/atom) = -807

Cell: 4.1153 4.1153 9.9868 Å, 90.00 90.00 90.00°
With the nearest neighbours (Å) after each atom.
Element x y z (fractional)
Rh 0.0000 0.5000 0.1251  5 Si 2.34-2.41
Ga 0.5000 0.5000 0.5000  4 Si 2.49
Si 0.5000 0.5000 0.0000  4 Rh 2.41
Si 0.0000 0.0000 0.0000  4 Rh 2.41
Rh 0.0000 0.0000 0.5000  4 Si 2.49
Rh 0.5000 0.0000 0.8749  5 Si 2.34-2.41
Pa 0.0000 0.5000 0.7556  8 Si 3.13-3.19, 6 Rh 3.14-3.28, 2 Ga 3.28
Si 0.5000 0.0000 0.6411  3 Rh 2.34-2.49, 2 Ga 2.49
Si 0.0000 0.5000 0.3589  3 Rh 2.34-2.49, 2 Ga 2.49
Pa 0.5000 0.0000 0.2444  8 Si 3.13-3.19, 6 Rh 3.14-3.28, 2 Ga 3.28


Record 2
Computed, not measured: a geometry-optimized TlAuCl4 structure at the PBE-GGA level of DFT.

- space-group type = No. 15
- formation energy without anion corrections (meV/atom) = -584

Cell: 6.8486 6.8486 10.2064 Å, 79.13 79.13 51.15°
With the nearest neighbours (Å) after each atom.
Element x y z (fractional)
Au 0.0000 0.5000 0.5000  4 Cl 2.32-2.33
Cl 0.7245 0.8009 0.6512  1 Au 2.33
Cl 0.3134 0.8044 0.0670  1 Au 2.32
Au 0.5000 0.0000 0.0000  4 Cl 2.32-2.33
Cl 0.1991 0.2755 0.8488  1 Au 2.33
Cl 0.8044 0.3134 0.5670  1 Au 2.32
Cl 0.6866 0.1956 0.9330  1 Au 2.32
Tl 0.2365 0.7635 0.7500  10 Cl 3.45-3.67
Cl 0.1956 0.6866 0.4330  1 Au 2.32
Tl 0.7635 0.2365 0.2500  10 Cl 3.45-3.67
Cl 0.2755 0.1991 0.3488  1 Au 2.33
Cl 0.8009 0.7245 0.1512  1 Au 2.33


Record 3
Computed, not measured: a geometry-optimized VMo2I structure at the PBE-GGA level of DFT.

- space-group type = No. 122
- formation energy without anion corrections (meV/atom) = 1043

Cell: 3.8013 3.8013 10.5926 Å, 79.66 79.66 90.00°
With the nearest neighbours (Å) after each atom.
Element x y z (fractional)
I 0.0000 0.0000 0.0000  4 V 2.69, 4 Mo 2.91
Mo 0.8750 0.8633 0.7500  4 Mo 2.63-2.75, 2 V 2.88, 2 I 2.91
V 0.5000 0.5000 0.0000  4 I 2.69, 4 Mo 2.88
I 0.7500 0.2500 0.5000  4 V 2.69, 4 Mo 2.91
Mo 0.1367 0.6250 0.2500  4 Mo 2.63-2.75, 2 V 2.88, 2 I 2.91
V 0.2500 0.7500 0.5000  4 I 2.69, 4 Mo 2.88
Mo 0.6133 0.1250 0.2500  4 Mo 2.63-2.75, 2 V 2.88, 2 I 2.91
Mo 0.3750 0.3867 0.7500  4 Mo 2.63-2.75, 2 V 2.88, 2 I 2.91


Record 4
Computed, not measured: a geometry-optimized LiIn2Pt structure at the PBE-GGA level of DFT.

- space-group type = No. 166
- energy of formation (eV per atom) = -0.22

Cell: 8.3540 8.3540 8.3540 Å, 24.73 24.73 24.73°
With the nearest neighbours (Å) after each atom.
Element x y z (fractional)
Pt 0.7500 0.7500 0.7500  6 In 2.75
In 0.4912 0.4912 0.4912  3 Pt 2.75, 3 Li 3.04
In 0.0088 0.0088 0.0088  3 Pt 2.75, 3 Li 3.04
Li 0.2500 0.2500 0.2500  6 In 3.04


Record 5
Computed, not measured: a geometry-optimized TmTl2Cd structure at the PBE-GGA level of DFT.

- space-group type = No. 166
- energy of formation (eV per atom) = 0.12

Cell: 3.4624 3.4624 11.4932 Å, 81.34 81.34 60.00°
With the nearest neighbours (Å) after each atom.
Element x y z (fractional)
Tm 0.0000 0.0000 0.0000  2 Tl 3.10, 6 Tm 3.46
Cd 0.5000 0.5000 0.5000  6 Tl 3.25, 6 Cd 3.46
Tl 0.9088 0.9088 0.2737  1 Tm 3.10, 3 Cd 3.25, 6 Tl 3.46
Tl 0.0912 0.0912 0.7263  1 Tm 3.10, 3 Cd 3.25, 6 Tl 3.46


Record 6
Computed, not measured: a geometry-optimized TbLuMgOs structure at the PBE-GGA level of DFT.

- space-group type = No. 216
- energy of formation (eV per atom) = -0.17

Cell: 4.9564 4.9564 4.9564 Å, 60.00 60.00 60.00°
With the nearest neighbours (Å) after each atom.
Element x y z (fractional)
Tb 0.2500 0.2500 0.2500  4 Mg 3.04, 4 Os 3.04
Os 0.5000 0.5000 0.5000  4 Tb 3.04, 4 Lu 3.04
Lu 0.7500 0.7500 0.7500  4 Os 3.04, 4 Mg 3.04
Mg 0.0000 0.0000 0.0000  4 Lu 3.04, 4 Tb 3.04


Record 7
Computed, not measured: a geometry-optimized TaTi2MoPb structure at the PBE-GGA level of DFT.

- space-group type = No. 123
- energy of formation (eV per atom) = 1.49

Cell: 4.7608 5.3530 4.7608 Å, 90.00 90.00 90.00°
With the nearest neighbours (Å) after each atom.
Element x y z (fractional)
Mo 0.5000 0.5000 0.5000  4 Pb 3.37, 8 Ti 3.58
Pb 0.0000 0.5000 0.0000  2 Ta 2.68
Ta 0.0000 0.0000 0.0000  4 Ti 2.38
Ti 0.5000 0.0000 0.0000  2 Ta 2.38
Ti 0.0000 0.0000 0.5000  2 Ta 2.38


Record 8
Computed, not measured: a geometry-optimized GaCoGe3 structure at the PBE-GGA level of DFT.

- space-group type = No. 221
- energy of formation (eV per atom) = 0.19

Cell: 4.5845 4.5845 4.5845 Å, 90.00 90.00 90.00°
With the nearest neighbours (Å) after each atom.
Element x y z (fractional)
Ga 0.5000 0.5000 0.5000  12 Ge 3.24
Ge 0.0000 0.5000 0.0000  2 Co 2.29
Ge 0.5000 0.0000 0.0000  2 Co 2.29
Co 0.0000 0.0000 0.0000  6 Ge 2.29
Ge 0.0000 0.0000 0.5000  2 Co 2.29


Record 9
Computed, not measured: a geometry-optimized AcLaP structure at the PBE-GGA level of DFT.

- space-group type = No. 166
- energy of formation (eV per atom) = -0.79

Cell: 5.0973 5.0973 8.8168 Å, 73.20 73.20 60.00°
With the nearest neighbours (Å) after each atom.
Element x y z (fractional)
P 0.7520 0.7520 0.7441  4 La 3.01-3.12, 4 Ac 3.12-3.23
P 0.2480 0.2480 0.2559  4 La 3.01-3.12, 4 Ac 3.12-3.23
Ac 0.6226 0.6226 0.1322  4 P 3.12-3.23
La 0.1272 0.1272 0.6183  4 P 3.01-3.12
La 0.8728 0.8728 0.3817  4 P 3.01-3.12
Ac 0.3774 0.3774 0.8678  4 P 3.12-3.23


Record 10
Computed, not measured: a geometry-optimized La2YHoEr5 structure at the PBE-GGA level of DFT.

- space-group type = No. 36
- energy of formation (eV per atom) = 0.14

Cell: 5.6320 10.2873 10.6921 Å, 90.00 90.00 105.89°
With the nearest neighbours (Å) after each atom.
Element x y z (fractional)
Er 0.2997 0.5994 0.7081  4 Er 3.41-3.78, 1 Y 3.47, 3 La 3.49-3.71, 3 Ho 3.51-3.79
Y 0.5866 0.1732 0.9609  5 Er 3.09-3.25
La 0.8871 0.7743 0.2330  7 Er 3.39-3.71, 1 Ho 3.45, 2 Y 3.76
Er 0.3883 0.7765 0.0211  6 Er 3.49-3.79, 4 La 3.56-3.61, 1 Ho 3.71
La 0.1129 0.2257 0.7330  7 Er 3.39-3.71, 1 Ho 3.45, 2 Y 3.76
La 0.1146 0.2292 0.3181  9 Er 3.30-3.69
Er 0.7188 0.4377 0.8071  1 Y 3.09, 1 La 3.30, 2 Er 3.41
Er 0.2812 0.5623 0.3071  1 Y 3.09, 1 La 3.30, 2 Er 3.41
Er 0.5198 0.0395 0.2389  2 Y 3.17-3.25, 2 La 3.49, 2 Er 3.49-3.52
Er 0.0163 0.0326 0.0251  2 Y 3.21, 2 La 3.39-3.41
Er 0.6117 0.2235 0.5211  6 Er 3.49-3.79, 4 La 3.56-3.61, 1 Ho 3.71
La 0.8854 0.7708 0.8181  9 Er 3.30-3.69
Er 0.9837 0.9674 0.5251  2 Y 3.21, 2 La 3.39-3.41
Ho 0.7991 0.5982 0.5117  2 La 3.45-3.69, 8 Er 3.51-3.79, 2 Y 3.65
Er 0.7003 0.4006 0.2081  4 Er 3.41-3.78, 1 Y 3.47, 3 La 3.49-3.71, 3 Ho 3.51-3.79
Y 0.4134 0.8268 0.4609  5 Er 3.09-3.25
Ho 0.2009 0.4018 0.0117  2 La 3.45-3.69, 8 Er 3.51-3.79, 2 Y 3.65
Er 0.4802 0.9605 0.7389  2 Y 3.17-3.25, 2 La 3.49, 2 Er 3.49-3.52


Record 11
Computed, not measured: a geometry-optimized Zr2Pt2Pb structure at the PBE-GGA level of DFT.

- space-group type = No. 139
- energy of formation (eV per atom) = -0.47

Cell: 3.7688 3.7688 8.3415 Å, 76.94 76.94 90.00°
With the nearest neighbours (Å) after each atom.
Element x y z (fractional)
Zr 0.6223 0.6223 0.7553  4 Pt 2.76
Pt 0.7500 0.2500 0.5000  4 Pt 2.66, 4 Zr 2.76
Zr 0.3777 0.3777 0.2447  4 Pt 2.76
Pb 0.0000 0.0000 0.0000  8 Zr 3.29
Pt 0.2500 0.7500 0.5000  4 Pt 2.66, 4 Zr 2.76